Record 1
First-principles (GGA-PBE) data for a relaxed structure of Ba2MnInSe5, as listed in Alexandria.

```
Ba2MnInSe5
1.0
-1.9328 -1.0460 -3.6909
9.2423 -2.8005 -1.5463
-2.7854 -11.8525 4.8177
Se In Ba Mn
10 2 4 2
Direct
0.2922 0.5845 0.6688
0.3114 0.6228 0.3798
0.3505 0.7009 0.0082
0.5000 0.0001 0.2725
0.6495 0.2991 0.5082
0.7078 0.4155 0.1688
0.0560 0.1120 0.0193
0.6886 0.3772 0.8798
0.9440 0.8880 0.5193
0.5000 0.9999 0.7725
0.2118 0.4235 0.0315
0.7882 0.5765 0.5315
0.1196 0.2393 0.6929
0.8743 0.7486 0.8216
0.1257 0.2514 0.3216
0.8804 0.7607 0.1929
0.5643 0.1286 0.9294
0.4357 0.8714 0.4294
```

Summary:
Its space-group type is Cmc2_1, No. 36. The calculation puts the formation energy from raw total energies at -10.3 eV per formula unit. As for the total magnetization: 8.00 μB per cell. As for the total energy: -4.829 eV/atom.

Record 2
First-principles (GGA-PBE) data for a relaxed structure of BaMn2InSe4, as listed in Alexandria.

```
BaMn2InSe4
1.0
4.0029 0.0000 0.0000
-2.0014 7.0438 0.0000
0.0000 0.0000 15.5959
Mn Se Ba In
4 8 2 2
Direct
0.3716 0.7433 0.9753
0.6284 0.2567 0.0247
0.6284 0.2567 0.4753
0.3716 0.7433 0.5247
0.0000 0.0000 0.0000
0.7608 0.5216 0.5951
0.5012 0.0024 0.2500
0.4988 0.9976 0.7500
0.0000 0.0000 0.5000
0.7608 0.5216 0.9049
0.2392 0.4784 0.4049
0.2392 0.4784 0.0951
0.1688 0.3376 0.7500
0.8312 0.6624 0.2500
0.8771 0.7541 0.7500
0.1229 0.2459 0.2500
```

Summary:
Its space-group type is Cmcm, No. 63. The calculation puts the formation energy from raw total energies at -4.9 eV per formula unit. As for the total magnetization: 18.03 μB per cell. As for the total energy: -5.226 eV/atom.

formation energy from raw total energies of number 2 (BaMn2InSe4)? -4.9 eV per formula unit